No. 1
Entry from Alexandria: a relaxed MgCd2Hg crystal (PBEsol).

```
MgCd2Hg
1.0
3.125 0.000 0.000
0.000 3.125 0.000
0.000 0.000 8.681
Mg Cd Hg
1 2 1
Cartesian
0.000 0.000 0.000
1.563 1.563 2.128
1.563 1.563 6.553
0.000 0.000 4.341
```

Summary:
Energy relative to the elements (kJ per mole of atoms): -5.48
ΔE to the lowest computed polymorph (meV/atom): 58

***

No. 2
Entry from Alexandria: a relaxed Mg2CdHg crystal (PBEsol).

```
Mg2CdHg
1.0
0.000 3.443 3.443
3.443 0.000 3.443
3.443 3.443 0.000
Mg Cd Hg
2 1 1
Cartesian
1.721 1.721 1.721
5.164 5.164 5.164
0.000 0.000 0.000
3.443 3.443 3.443
```

Summary:
Energy relative to the elements (kJ per mole of atoms): -19.98
ΔE to the lowest computed polymorph (meV/atom): 4

***

No. 3
Entry from Alexandria: a relaxed MgCd2Hg crystal (PBEsol).

```
MgCd2Hg
1.0
-2.180 2.180 4.377
2.180 -2.180 4.377
2.180 2.180 -4.377
Mg Cd Hg
1 2 1
Cartesian
0.000 0.000 0.000
0.000 0.000 4.377
0.000 2.180 2.188
2.180 0.000 2.188
```

Summary:
Energy relative to the elements (kJ per mole of atoms): -11.03
ΔE to the lowest computed polymorph (meV/atom): 0

***

No. 4
Entry from Alexandria: a relaxed Mg2CdHg2 crystal (PBEsol).

```
Mg2CdHg2
1.0
7.754 0.000 0.000
0.000 7.754 0.000
0.000 0.000 3.550
Mg Cd Hg
4 2 4
Cartesian
1.234 2.643 0.000
2.643 6.520 0.000
5.110 1.234 0.000
6.520 5.110 0.000
0.000 0.000 1.775
3.877 3.877 1.775
1.090 4.967 1.775
2.787 1.090 1.775
4.967 6.663 1.775
6.663 2.787 1.775
```

Summary:
Energy relative to the elements (kJ per mole of atoms): -19.33
ΔE to the lowest computed polymorph (meV/atom): 0

***

No. 5
Entry from Alexandria: a relaxed Mg2CdHg crystal (PBEsol).

```
Mg2CdHg
1.0
-2.142 2.142 4.535
2.142 -2.142 4.535
2.142 2.142 -4.535
Mg Cd Hg
2 1 1
Cartesian
0.000 0.000 0.000
0.000 2.142 2.267
0.000 0.000 4.535
2.142 0.000 2.267
```

Summary:
Energy relative to the elements (kJ per mole of atoms): -15.70
ΔE to the lowest computed polymorph (meV/atom): 48

***

No. 6
Entry from Alexandria: a relaxed Mg4CdHg crystal (PBEsol).

```
Mg4CdHg
1.0
0.000 4.059 4.059
4.059 0.000 4.059
4.059 4.059 0.000
Mg Cd Hg
4 1 1
Cartesian
1.014 1.014 1.014
3.045 3.045 1.014
3.045 1.014 3.045
1.014 3.045 3.045
6.088 6.088 6.088
4.059 4.059 4.059
```

Summary:
Energy relative to the elements (kJ per mole of atoms): 5.95

***

No. 7
Entry from Alexandria: a relaxed Mg2CdHg crystal (PBEsol).

```
Mg2CdHg
1.0
4.712 -1.620 0.000
4.712 1.620 0.000
-1.120 0.000 5.601
Mg Cd Hg
2 1 1
Cartesian
2.061 0.000 1.377
6.243 0.000 4.224
-0.560 0.000 2.800
4.712 0.000 0.000
```

Summary:
Energy relative to the elements (kJ per mole of atoms): -13.81
ΔE to the lowest computed polymorph (meV/atom): 68

***

No. 8
Entry from Alexandria: a relaxed Mg2CdHg crystal (PBEsol).

```
Mg2CdHg
1.0
5.311 -1.669 0.000
5.311 1.669 0.000
-1.597 0.000 4.720
Mg Cd Hg
2 1 1
Cartesian
0.000 0.000 0.000
1.443 0.000 3.013
7.729 0.000 0.682
4.388 0.000 2.374
```

Summary:
Energy relative to the elements (kJ per mole of atoms): -16.74
ΔE to the lowest computed polymorph (meV/atom): 37

***

No. 9
Entry from Alexandria: a relaxed Mg2CdHg crystal (PBEsol).

```
Mg2CdHg
1.0
3.345 -3.569 0.000
3.345 3.569 0.000
0.000 0.000 3.425
Mg Cd Hg
2 1 1
Cartesian
1.672 1.785 0.000
1.672 -1.785 0.000
0.000 0.000 1.712
3.345 0.000 1.712
```

Summary:
Energy relative to the elements (kJ per mole of atoms): -20.12
ΔE to the lowest computed polymorph (meV/atom): 2

***

No. 10
Entry from Alexandria: a relaxed MgCd2Hg crystal (PBEsol).

```
MgCd2Hg
1.0
3.192 0.000 0.000
0.000 4.566 0.000
-1.584 0.000 5.828
Mg Cd Hg
1 2 1
Cartesian
0.000 0.000 0.000
0.016 0.000 3.007
1.613 2.283 1.893
0.014 2.283 4.813
```

Summary:
Energy relative to the elements (kJ per mole of atoms): -10.01
ΔE to the lowest computed polymorph (meV/atom): 11

***

No. 11
Entry from Alexandria: a relaxed Mg2CdHg2 crystal (PBEsol).

```
Mg2CdHg2
1.0
-2.125 2.125 6.440
2.125 -2.125 6.440
2.125 2.125 -6.440
Mg Cd Hg
2 1 2
Cartesian
2.125 0.000 3.220
0.000 2.125 3.220
0.000 0.000 0.000
0.000 0.000 5.068
0.000 0.000 7.812
```

Summary:
Energy relative to the elements (kJ per mole of atoms): -2.47
ΔE to the lowest computed polymorph (meV/atom): 175

***

No. 12
Entry from Alexandria: a relaxed MgCd2Hg crystal (PBEsol).

```
MgCd2Hg
1.0
3.400 0.000 0.000
0.000 4.009 0.000
0.000 0.000 6.162
Mg Cd Hg
1 2 1
Cartesian
0.000 0.000 0.000
0.000 0.000 3.107
1.700 2.005 1.613
1.700 2.005 4.748
```

Summary:
Energy relative to the elements (kJ per mole of atoms): -10.31
ΔE to the lowest computed polymorph (meV/atom): 7

***

No. 13
Entry from Alexandria: a relaxed MgCd2Hg crystal (PBEsol).

```
MgCd2Hg
1.0
4.712 -1.916 0.000
4.712 1.916 0.000
-1.298 0.000 4.732
Mg Cd Hg
1 2 1
Cartesian
0.000 0.000 0.000
4.090 0.000 2.384
6.755 0.000 1.292
1.398 0.000 3.700
```

Summary:
Energy relative to the elements (kJ per mole of atoms): -9.88
ΔE to the lowest computed polymorph (meV/atom): 12

***

No. 14
Entry from Alexandria: a relaxed Mg2CdHg crystal (PBEsol).

```
Mg2CdHg
1.0
1.633 0.943 9.268
-1.633 0.943 9.268
0.000 -1.885 9.268
Mg Cd Hg
2 1 1
Cartesian
0.000 0.000 6.907
0.000 0.000 20.898
0.000 0.000 0.000
0.000 0.000 13.902
```

Summary:
Energy relative to the elements (kJ per mole of atoms): -13.78
ΔE to the lowest computed polymorph (meV/atom): 68

***

No. 15
Entry from Alexandria: a relaxed MgCd2Hg crystal (PBEsol).

```
MgCd2Hg
1.0
3.110 -3.063 0.000
3.110 3.063 0.000
-3.001 0.000 4.371
Mg Cd Hg
1 2 1
Cartesian
0.000 0.000 0.000
3.110 -0.003 0.000
1.609 -1.530 2.186
1.609 1.543 2.186
```

Summary:
Energy relative to the elements (kJ per mole of atoms): -11.02
ΔE to the lowest computed polymorph (meV/atom): 0

***

No. 16
Entry from Alexandria: a relaxed Mg2CdHg crystal (PBEsol).

```
Mg2CdHg
1.0
3.432 0.000 0.000
0.000 4.172 0.000
0.000 0.000 5.901
Mg Cd Hg
2 1 1
Cartesian
0.000 0.000 0.000
1.716 2.086 1.687
0.000 0.000 2.974
1.716 2.086 4.653
```

Summary:
Energy relative to the elements (kJ per mole of atoms): -14.26
ΔE to the lowest computed polymorph (meV/atom): 63

***

No. 17
Entry from Alexandria: a relaxed MgCd2Hg crystal (PBEsol).

```
MgCd2Hg
1.0
-2.101 2.101 10.340
2.101 -2.101 10.340
2.101 2.101 -10.340
Mg Cd Hg
2 4 2
Cartesian
0.000 0.000 0.000
0.000 2.101 5.170
3.151 1.032 -2.585
1.032 1.050 2.585
-1.050 1.069 7.755
1.069 1.050 12.925
2.101 0.000 5.170
0.000 0.000 10.340
```

Summary:
Energy relative to the elements (kJ per mole of atoms): -2.52
ΔE to the lowest computed polymorph (meV/atom): 88

***

No. 18
Entry from Alexandria: a relaxed Mg2MnCdHg crystal (PBEsol).

```
Mg2MnCdHg
1.0
5.131 0.000 0.000
0.000 5.131 0.000
0.000 0.000 5.070
Mg Mn Cd Hg
2 1 1 1
Cartesian
0.000 2.565 0.000
2.565 0.000 0.000
0.000 0.000 2.535
2.565 2.565 2.535
0.000 0.000 0.000
```

Summary:
Energy relative to the elements (kJ per mole of atoms): 52.48

***

No. 19
Entry from Alexandria: a relaxed Mn2CdHg crystal (PBEsol).

```
Mn2CdHg
1.0
2.969 0.000 0.000
0.000 3.828 0.000
0.000 0.000 5.870
Mn Cd Hg
2 1 1
Cartesian
0.000 0.000 1.460
0.000 0.000 4.410
1.485 1.914 2.935
1.485 1.914 0.000
```

Summary:
Energy relative to the elements (kJ per mole of atoms): 37.18

***

No. 20
Entry from Alexandria: a relaxed MnCdHg crystal (PBEsol).

```
MnCdHg
1.0
3.058 0.000 0.000
-1.529 2.648 0.000
0.000 0.000 6.910
Mn Cd Hg
1 1 1
Cartesian
0.000 0.000 0.000
0.000 1.765 4.705
1.529 0.883 2.177
```

Summary:
Energy relative to the elements (kJ per mole of atoms): 30.90

***

Density of states at the Fermi level, respectively: 1.45 1.30 1.24 2.91 1.30 2.42 1.60 1.24 1.40 1.38 2.08 1.29 1.25 1.38 1.24 1.42 3.16 3.24 4.16 1.80 states/eV per cell.